15
Lattice="6.922 0.000 0.000 -3.461 5.995 0.000 0.000 0.000 8.749" Properties=species:S:1:pos:R:3 comment="La3AlIn2Pd9 GGA-PBE relaxed" ef_ev_per_atom=-0.466 final_energy_ev_per_atom=-5.182 volume_a3_per_atom=24.2 rho_g_cm3=7.5 pbc="T T T"
La 0.000 0.000 0.000
La 0.000 3.996 6.423
La 3.461 1.998 2.326
Al 0.000 0.000 4.374
In 0.000 3.996 1.796
In 3.461 1.998 6.952
Pd -1.730 2.997 0.000
Pd 0.000 1.562 2.465
Pd -2.108 5.213 2.465
Pd 1.353 0.781 6.284
Pd 3.461 0.000 0.000
Pd 1.730 2.997 0.000
Pd 2.108 5.213 2.465
Pd 5.569 0.781 6.284
Pd 3.461 4.432 6.284

=====

7
Lattice="2.366 1.366 9.956 -2.366 1.366 9.956 0.000 -2.732 9.956" Properties=species:S:1:pos:R:3 comment="LaPm2Al2In2 GGA-PBE relaxed" ef_ev_per_atom=-0.296 final_energy_ev_per_atom=-4.209 volume_a3_per_atom=27.6 rho_g_cm3=6.1 pbc="T T T"
La 0.000 0.000 0.000
Pm 0.000 0.000 3.910
Pm 0.000 0.000 25.957
Al 0.000 0.000 11.978
Al 0.000 0.000 17.889
In 0.000 0.000 7.708
In 0.000 0.000 22.159

=====

7
Lattice="2.369 1.368 10.069 -2.369 1.368 10.069 0.000 -2.735 10.069" Properties=species:S:1:pos:R:3 comment="LaPr2Al2In2 GGA-PBE relaxed" ef_ev_per_atom=-0.303 final_energy_ev_per_atom=-4.224 volume_a3_per_atom=28.0 rho_g_cm3=6.0 pbc="T T T"
La 0.000 0.000 0.000
Pr 0.000 0.000 3.968
Pr 0.000 0.000 26.239
Al 0.000 0.000 12.133
Al 0.000 0.000 18.074
In 0.000 0.000 7.868
In 0.000 0.000 22.339

=====

4
Lattice="0.000 3.860 3.860 3.860 0.000 3.860 3.860 3.860 0.000" Properties=species:S:1:pos:R:3 comment="LaPrAlIn GGA-PBE relaxed" ef_ev_per_atom=-0.411 relative_energy_mev_per_atom=12 final_energy_ev_per_atom=-4.458 volume_a3_per_atom=28.7 rho_g_cm3=6.1 pbc="T T T"
La 0.000 0.000 0.000
Pr 3.860 3.860 3.860
Al 5.789 5.789 5.789
In 1.930 1.930 1.930

=====

4
Lattice="3.842 0.000 0.000 0.000 3.842 0.000 0.000 0.000 7.781" Properties=species:S:1:pos:R:3 comment="LaPrAlIn GGA-PBE relaxed" ef_ev_per_atom=-0.423 relative_energy_mev_per_atom=0 final_energy_ev_per_atom=-4.470 volume_a3_per_atom=28.7 rho_g_cm3=6.1 pbc="T T T"
La 0.000 0.000 0.000
Pr 0.000 0.000 3.723
Al 1.921 1.921 1.904
In 1.921 1.921 5.701

=====

10
Lattice="4.945 -2.855 0.000 4.945 2.855 0.000 -3.304 0.000 8.321" Properties=species:S:1:pos:R:3 comment="La2AlInPt6 GGA-PBE relaxed" ef_ev_per_atom=-0.845 final_energy_ev_per_atom=-6.103 volume_a3_per_atom=23.5 rho_g_cm3=11.2 pbc="T T T"
La 1.649 0.000 1.014
La 4.937 0.000 7.306
Al 4.945 0.000 0.000
In -1.652 0.000 4.160
Pt 4.117 1.437 1.889
Pt -0.020 0.000 6.433
Pt 2.469 1.437 6.432
Pt 4.117 -1.437 1.889
Pt 6.606 0.000 1.887
Pt 2.469 -1.437 6.432

=====

10
Lattice="4.392 0.000 0.000 0.000 4.392 0.000 0.000 0.000 10.641" Properties=species:S:1:pos:R:3 comment="La2Al3InPt4 GGA-PBE relaxed" ef_ev_per_atom=-1.037 final_energy_ev_per_atom=-5.835 volume_a3_per_atom=20.5 rho_g_cm3=10.1 pbc="T T T"
La 0.000 2.196 2.607
La 2.196 0.000 8.034
Al 0.000 2.196 9.374
Al 2.196 0.000 1.267
Al 2.196 2.196 5.320
In 0.000 0.000 5.320
Pt 0.000 0.000 0.000
Pt 0.000 2.196 6.886
Pt 2.196 0.000 3.755
Pt 2.196 2.196 0.000

=====

15
Lattice="7.525 0.000 0.000 -3.763 6.517 0.000 0.000 0.000 6.716" Properties=species:S:1:pos:R:3 comment="La3Al2InPt9 GGA-PBE relaxed" ef_ev_per_atom=-0.599 final_energy_ev_per_atom=-5.890 volume_a3_per_atom=22.0 rho_g_cm3=11.8 pbc="T T T"
La 0.000 0.000 0.000
La 0.000 4.345 4.390
La 3.763 2.172 2.326
Al 0.000 4.345 0.957
Al 3.763 2.172 5.759
In 0.000 0.000 3.358
Pt -1.881 3.259 0.000
Pt 0.000 2.286 2.149
Pt -1.783 5.374 2.149
Pt 1.980 1.143 4.566
Pt 3.763 0.000 0.000
Pt 1.881 3.259 0.000
Pt 1.783 5.374 2.149
Pt 5.546 1.143 4.566
Pt 3.763 4.231 4.566

=====

20
Lattice="10.142 0.000 0.000 0.000 10.142 0.000 0.000 0.000 3.582" Properties=species:S:1:pos:R:3 comment="La2Al2InRh5 GGA-PBE relaxed" ef_ev_per_atom=-0.763 final_energy_ev_per_atom=-6.447 volume_a3_per_atom=18.4 rho_g_cm3=8.7 pbc="T T T"
La 1.808 3.263 0.000
La 3.263 8.334 0.000
La 6.879 1.808 0.000
La 8.334 6.879 0.000
Al 1.210 6.281 0.000
Al 3.861 1.210 0.000
Al 6.281 8.932 0.000
Al 8.932 3.861 0.000
In 0.000 0.000 0.000
In 5.071 5.071 0.000
Rh 0.000 5.071 1.791
Rh 0.691 7.974 1.791
Rh 2.168 0.691 1.791
Rh 2.903 5.762 1.791
Rh 4.380 2.903 1.791
Rh 5.071 0.000 1.791
Rh 5.762 7.239 1.791
Rh 7.239 4.380 1.791
Rh 7.974 9.451 1.791
Rh 9.451 2.168 1.791

=====

20
Lattice="6.666 -5.685 0.000 6.666 5.685 0.000 -3.009 0.000 6.870" Properties=species:S:1:pos:R:3 comment="LaAlIn2S6 GGA-PBE relaxed" final_energy_ev_per_atom=-4.917 volume_a3_per_atom=26.0 raw_formation_energy_mev_per_atom=-1025 rho_g_cm3=3.7 pbc="T T T"
La 4.409 3.839 5.152
La 5.914 -3.839 1.717
Al 5.914 3.677 1.717
Al 4.409 -3.677 5.152
In 1.751 0.677 5.619
In 3.256 -0.677 2.184
In 7.067 0.677 4.685
In 8.571 -0.677 1.251
S -0.531 0.652 4.484
S 2.113 2.911 6.643
S 0.974 -0.652 1.049
S 3.205 1.259 3.687
S 6.705 2.911 3.661
S 4.710 -1.259 0.252
S 5.613 1.259 6.617
S 3.617 -2.911 3.208
S 7.118 -1.259 3.182
S 9.349 0.652 5.821
S 8.210 -2.911 0.227
S 10.853 -0.652 2.386

=====

4
Lattice="0.000 3.693 3.693 3.693 0.000 3.693 3.693 3.693 0.000" Properties=species:S:1:pos:R:3 comment="LaScAlIn GGA-PBE relaxed" ef_ev_per_atom=-0.382 final_energy_ev_per_atom=-4.817 volume_a3_per_atom=25.2 rho_g_cm3=5.4 pbc="T T T"
La 0.000 0.000 0.000
Sc 3.693 3.693 3.693
Al 1.846 1.846 1.846
In 5.539 5.539 5.539

=====

20
Lattice="6.974 -5.982 0.000 6.974 5.982 0.000 -3.059 0.000 7.113" Properties=species:S:1:pos:R:3 comment="LaAlIn2Se6 GGA-PBE relaxed" final_energy_ev_per_atom=-4.410 volume_a3_per_atom=29.7 raw_formation_energy_mev_per_atom=-905 rho_g_cm3=4.9 pbc="T T T"
La 4.680 4.073 5.335
La 6.209 -4.073 1.778
Al 6.209 3.873 1.778
Al 4.680 -3.873 5.335
In 1.995 0.724 5.787
In 3.525 -0.724 2.230
In 7.364 0.724 4.883
In 8.894 -0.724 1.326
Se -0.457 0.653 4.623
Se 2.219 3.113 6.829
Se 1.072 -0.653 1.067
Se 3.465 1.382 3.728
Se 7.140 3.113 3.840
Se 4.994 -1.382 0.171
Se 5.894 1.382 6.942
Se 3.749 -3.113 3.273
Se 7.424 -1.382 3.385
Se 9.817 0.653 6.046
Se 8.669 -3.113 0.284
Se 11.346 -0.653 2.490

=====

4
Lattice="3.802 0.000 0.000 0.000 3.802 0.000 0.000 0.000 7.710" Properties=species:S:1:pos:R:3 comment="LaSmAlIn GGA-PBE relaxed" ef_ev_per_atom=-0.433 relative_energy_mev_per_atom=0 final_energy_ev_per_atom=-4.465 volume_a3_per_atom=27.9 rho_g_cm3=6.4 pbc="T T T"
La 0.000 0.000 0.000
Sm 0.000 0.000 3.691
Al 1.901 1.901 1.943
In 1.901 1.901 5.589

=====

4
Lattice="0.000 3.823 3.823 3.823 0.000 3.823 3.823 3.823 0.000" Properties=species:S:1:pos:R:3 comment="LaSmAlIn GGA-PBE relaxed" ef_ev_per_atom=-0.418 relative_energy_mev_per_atom=15 final_energy_ev_per_atom=-4.450 volume_a3_per_atom=27.9 rho_g_cm3=6.4 pbc="T T T"
La 0.000 0.000 0.000
Sm 3.823 3.823 3.823
Al 5.735 5.735 5.735
In 1.912 1.912 1.912

=====

4
Lattice="0.000 3.937 3.937 3.937 0.000 3.937 3.937 3.937 0.000" Properties=species:S:1:pos:R:3 comment="SrLaAlIn GGA-PBE relaxed" ef_ev_per_atom=-0.309 final_energy_ev_per_atom=-3.581 volume_a3_per_atom=30.5 rho_g_cm3=5.0 pbc="T T T"
Sr 0.000 0.000 0.000
La 3.937 3.937 3.937
Al 5.906 5.906 5.906
In 1.969 1.969 1.969

=====

4
Lattice="3.763 0.000 0.000 0.000 3.763 0.000 0.000 0.000 7.676" Properties=species:S:1:pos:R:3 comment="LaTbAlIn GGA-PBE relaxed" ef_ev_per_atom=-0.437 relative_energy_mev_per_atom=0 final_energy_ev_per_atom=-4.447 volume_a3_per_atom=27.2 rho_g_cm3=6.7 pbc="T T T"
La 0.000 0.000 0.000
Tb 0.000 0.000 3.670
Al 1.882 1.882 1.973
In 1.882 1.882 5.517

=====

4
Lattice="0.000 3.794 3.794 3.794 0.000 3.794 3.794 3.794 0.000" Properties=species:S:1:pos:R:3 comment="LaTbAlIn GGA-PBE relaxed" ef_ev_per_atom=-0.419 relative_energy_mev_per_atom=18 final_energy_ev_per_atom=-4.429 volume_a3_per_atom=27.3 rho_g_cm3=6.7 pbc="T T T"
La 0.000 0.000 0.000
Tb 3.794 3.794 3.794
Al 1.897 1.897 1.897
In 5.691 5.691 5.691

=====

4
Lattice="0.000 3.845 3.845 3.845 0.000 3.845 3.845 3.845 0.000" Properties=species:S:1:pos:R:3 comment="LaThAlIn GGA-PBE relaxed" ef_ev_per_atom=-0.266 final_energy_ev_per_atom=-4.973 volume_a3_per_atom=28.4 rho_g_cm3=7.5 pbc="T T T"
La 0.000 0.000 0.000
Th 3.845 3.845 3.845
Al 5.768 5.768 5.768
In 1.923 1.923 1.923

=====

4
Lattice="0.000 3.789 3.789 3.789 0.000 3.789 3.789 3.789 0.000" Properties=species:S:1:pos:R:3 comment="LaYAlIn GGA-PBE relaxed" ef_ev_per_atom=-0.433 relative_energy_mev_per_atom=17 final_energy_ev_per_atom=-4.901 volume_a3_per_atom=27.2 rho_g_cm3=5.6 pbc="T T T"
La 0.000 0.000 0.000
Y 3.789 3.789 3.789
Al 5.683 5.683 5.683
In 1.894 1.894 1.894

=====

4
Lattice="3.751 0.000 0.000 0.000 3.751 0.000 0.000 0.000 7.701" Properties=species:S:1:pos:R:3 comment="LaYAlIn GGA-PBE relaxed" ef_ev_per_atom=-0.450 relative_energy_mev_per_atom=0 final_energy_ev_per_atom=-4.918 volume_a3_per_atom=27.1 rho_g_cm3=5.7 pbc="T T T"
La 0.000 0.000 0.000
Y 0.000 0.000 3.681
Al 1.875 1.875 1.983
In 1.875 1.875 5.528